[1]
Here is IrAuSe2 after structural relaxation from Alexandria via LeMat-Bulk. Energies are from PBE.

Lattice parameters (Å, degrees): 6.6409 6.6409 6.6409 153.87 142.31 46.44
Closest atoms and distances in Å follow each position.
Sites, in units of the cell vectors:
1 Ir 0.7737 0.2737 0.5000  6 Se 2.50-2.69
2 Se 0.2237 0.7237 0.5000  4 Ir 2.69, 2 Au 2.89, 2 Se 3.00
3 Se 0.9373 0.9373 0.0000  2 Ir 2.50
4 Au 0.5653 0.5653 0.0000  6 Se 2.89-3.05, 2 Ir 2.95, 2 Au 3.00

Values from the calculation:
raw total energy: -0.1643 hartree per atom
V: 19.7 Å³ per atom
energy relative to the elements, uncorrected: 1.22 eV per formula unit

[2]
Here is LiPr2Pb8 after structural relaxation from Alexandria via LeMat-Bulk. Energies are from PBE.

Lattice parameters (Å, degrees): 4.8764 4.8764 13.6594 90.00 90.00 90.00
Closest atoms and distances in Å follow each position.
Sites, in units of the cell vectors:
1 Pb 0.0000 0.5000 0.8733  2 Li 2.99
2 Pb 0.5000 0.5000 0.6945  8 Pb 3.45-3.61, 4 Pr 3.45
3 Pb 0.0000 0.5000 0.5000  8 Pb 3.45-3.61, 4 Pr 3.47
4 Pb 0.5000 0.0000 0.8733  2 Li 2.99
5 Pb 0.5000 0.0000 0.1267  2 Li 2.99
6 Pr 0.0000 0.0000 0.6803  12 Pb 3.45-3.59
7 Pr 0.0000 0.0000 0.3197  12 Pb 3.45-3.59
8 Pb 0.0000 0.5000 0.1267  2 Li 2.99
9 Pb 0.5000 0.0000 0.5000  8 Pb 3.45-3.61, 4 Pr 3.47
10 Pb 0.5000 0.5000 0.3055  8 Pb 3.45-3.61, 4 Pr 3.45
11 Li 0.0000 0.0000 0.0000  8 Pb 2.99

Values from the calculation:
raw total energy: -0.1486 hartree per atom
ΔE_f: -303 meV per atom
V: 29.5 Å³ per atom

[3]
Here is Nd2Y3In7 after structural relaxation from Alexandria via LeMat-Bulk. Energies are from PBE.

Lattice parameters (Å, degrees): 5.3805 5.2122 13.0361 101.53 90.00 90.00
Closest atoms and distances in Å follow each position.
Sites, in units of the cell vectors:
1 Nd 0.0000 0.1464 0.2928  7 In 3.25-3.35
2 In 0.0000 0.0000 0.0000  8 In 3.17-3.30
3 Y 0.5000 0.3504 0.7008  6 In 3.23-3.37
4 Nd 0.0000 0.8536 0.7072  7 In 3.25-3.35
5 In 0.0000 0.7225 0.4449  2 In 2.96, 2 Nd 3.25, 2 Y 3.27
6 In 0.0000 0.5704 0.1409  2 In 3.17, 4 Y 3.24-3.37, 2 Nd 3.25
7 Y 0.5000 0.5000 0.0000  8 In 3.23-3.24
8 In 0.0000 0.2775 0.5551  2 In 2.96, 2 Nd 3.25, 2 Y 3.27
9 In 0.5000 0.0749 0.1497  4 Y 3.23, 2 Nd 3.25, 2 In 3.30
10 Y 0.5000 0.6496 0.2992  6 In 3.23-3.37
11 In 0.5000 0.9251 0.8503  4 Y 3.23, 2 Nd 3.25, 2 In 3.30
12 In 0.0000 0.4296 0.8591  2 In 3.17, 4 Y 3.24-3.37, 2 Nd 3.25

Values from the calculation:
raw total energy: -0.1558 hartree per atom
ΔE_f: -231 meV per atom
V: 29.9 Å³ per atom

[4]
Here is TlSbTeI2 after structural relaxation from Alexandria via LeMat-Bulk. Energies are from PBE.

Lattice parameters (Å, degrees): 5.9476 5.9476 6.0051 90.00 90.00 90.00
Closest atoms and distances in Å follow each position.
Sites, in units of the cell vectors:
1 Te 0.0000 0.0000 0.5000  2 Tl 3.00
2 I 0.5000 0.0000 0.0000  2 Tl 2.97
3 Tl 0.0000 0.0000 0.0000  4 I 2.97, 2 Te 3.00
4 I 0.0000 0.5000 0.0000  2 Tl 2.97
5 Sb 0.5000 0.5000 0.5000  4 Te 4.21, 8 I 4.23

Values from the calculation:
raw total energy: -0.0762 hartree per atom
V: 42.5 Å³ per atom
energy relative to the elements, uncorrected: 2.36 eV per formula unit